Density functional theory data (PBE-GGA) for a relaxed structure of CrFe2As.

Output
Total energy ... -7.687 eV per atom
Volume ... 12.6 A^3/atom

abc: 3.737 2.749 9.828
angles: 90.00 90.00 90.00
Element x y z (fractional)
Cr 0.000 0.000 0.000
Cr 0.000 0.500 0.500
Fe 0.000 0.000 0.243
Fe 0.000 0.500 0.743
Fe 0.500 0.000 0.642
Fe 0.500 0.500 0.142
As 0.500 0.000 0.390
As 0.500 0.500 0.890